# 1
Material: ScCr2Pd
Method: DFT, PBE
State: relaxed

Lattice parameters (Å, degrees): 4.555 4.555 4.555 60.00 60.00 60.00
Atoms (fractional coordinates):
Cr 0.250 0.250 0.250
Cr 0.750 0.750 0.750
Pd 0.500 0.500 0.500
Sc 0.000 0.000 0.000

Computed properties:
Polymorph energy (0 for the lowest one)   0.0 meV per atom
SG   Fm-3m (225)
DFT formation energy   226 meV/atom
Calculated volume   66.8 Å³/cell

# 2
Material: ScCr2Pd
Method: DFT, PBE
State: relaxed

Lattice parameters (Å, degrees): 7.233 7.233 5.679 50.45 50.45 90.00
Atoms (fractional coordinates):
Cr 0.875 0.901 0.750
Cr 0.651 0.125 0.250
Cr 0.375 0.349 0.750
Cr 0.099 0.625 0.250
Sc 0.250 0.750 0.500
Sc 0.500 0.500 0.000
Pd 0.000 0.000 0.000
Pd 0.750 0.250 0.500

Computed properties:
Polymorph energy (0 for the lowest one)   380.2 meV per atom
SG   I-42d (122)
DFT formation energy   606 meV/atom
Calculated volume   129.2 Å³/cell

# 3
Material: Sc3CrPd
Method: DFT, PBE
State: relaxed

Lattice parameters (Å, degrees): 5.045 5.045 5.045 90.00 90.00 90.00
Atoms (fractional coordinates):
Sc 0.000 0.000 0.500
Sc 0.500 0.000 0.000
Sc 0.000 0.500 0.000
Pd 0.000 0.000 0.000
Cr 0.500 0.500 0.500

Computed properties:
Polymorph energy (0 for the lowest one)   0.0 meV per atom
SG   Pm-3m (221)
DFT formation energy   277 meV/atom
Calculated volume   128.4 Å³/cell

# 4
Material: Sc2CrPd9
Method: DFT, PBE
State: relaxed

Lattice parameters (Å, degrees): 3.971 3.971 11.948 90.00 90.00 90.00
Atoms (fractional coordinates):
Pd 0.500 0.000 0.161
Pd 0.500 0.500 0.330
Pd 0.000 0.500 0.839
Pd 0.500 0.000 0.839
Pd 0.500 0.500 0.000
Pd 0.000 0.500 0.161
Pd 0.500 0.000 0.500
Pd 0.500 0.500 0.670
Pd 0.000 0.500 0.500
Sc 0.000 0.000 0.331
Sc 0.000 0.000 0.669
Cr 0.000 0.000 0.000

Computed properties:
SG   P4/mmm (123)
DFT formation energy   -581 meV/atom
Calculated volume   188.4 Å³/cell